# 1
Mg2Os | PBEsol | relaxed

The density of states at the Fermi level comes out at 0.295 states/eV per atom. Its crystal system is orthorhombic. The calculation puts the formation energy at 117 meV/atom. As for the magnetic moment: 0.0 μB per formula unit. The value obtained for the electronic total energy is -5.0995 eV/atom.

It has space group Cmcm (No. 63), with a = 4.6112 Å, b = 9.8264 Å, c = 4.4355 Å, α = 90.00°, β = 90.00° and γ = 90.00°. The distinct sites, in fractional coordinates, are Mg at (0.0000, 0.0834, 0.2500), Mg at (0.0000, 0.2536, 0.7500) and Os at (0.0000, 0.4436, 0.2500).

# 2
K2HAu | PBEsol | relaxed

The density of states at the Fermi level comes out at 0.000 states/eV per atom. Its crystal system is tetragonal. As for the magnetic moment: 0.0 μB per formula unit. The value obtained for the electronic total energy is -2.4318 eV/atom.

It has space group I-42d (No. 122), with a = 7.6352 Å, b = 7.6352 Å, c = 7.9381 Å, α = 90.00°, β = 90.00° and γ = 90.00°. The distinct sites, in fractional coordinates, are K at (0.1813, 0.2500, 0.1250), H at (0.0000, 0.0000, 0.0000) and Au at (0.0000, 0.0000, 0.5000).